Entry 1:
Here is a relaxed Ga2SnSe crystal from Alexandria via LeMat-Bulk. Energies are from PBE-GGA.

Computed properties:
energy above the lowest structure with this stoichiometry	188	meV per atom
N(E_F)	5.55	states/eV per cell
E_form (uncorrected)	-0.16	eV per formula unit
raw total energy	-3.4247	eV/atom

CIF file:
```
data_Ga2SnSe
_chemical_formula_sum 'Ga6 Sn3 Se3'
_symmetry_space_group_name_H-M 'R -3 m'
_symmetry_Int_Tables_number 166
_symmetry_space_group_name_Hall '-R 3 2"'
_cell_length_a 3.6046
_cell_length_b 3.6046
_cell_length_c 27.5793
_cell_angle_alpha 90.00
_cell_angle_beta 90.00
_cell_angle_gamma 120.00
loop_
_atom_site_label
_atom_site_type_symbol
_atom_site_fract_x
_atom_site_fract_y
_atom_site_fract_z
_atom_site_occupancy
Ga1 Ga 0.0000 0.0000 0.1040 1
Sn1 Sn 0.0000 0.0000 0.0000 1
Se1 Se 0.0000 0.0000 0.5000 1
```



Entry 2:
Here is a relaxed Ac2ZnCdSe5 crystal from Alexandria via LeMat-Bulk. Energies are from PBE-GGA.

Computed properties:
N(E_F)	0.00	states/eV per cell
E_form (uncorrected)	-12.54	eV per formula unit
raw total energy	-4.4849	eV/atom

CIF file:
```
data_Ac2ZnCdSe5
_chemical_formula_sum 'Ac8 Zn4 Cd4 Se20'
_symmetry_space_group_name_H-M 'C m c 21'
_symmetry_Int_Tables_number 36
_cell_length_a 4.276
_cell_length_b 18.254
_cell_length_c 12.381
_cell_angle_alpha 90.00
_cell_angle_beta 90.00
_cell_angle_gamma 90.00
loop_
_symmetry_equiv_pos_as_xyz
'x,y,z'
'-x,-y,z+1/2'
'-x,y,z'
'x,-y,z+1/2'
'x+1/2,y+1/2,z'
'-x+1/2,-y+1/2,z+1/2'
'-x+1/2,y+1/2,z'
'x+1/2,-y+1/2,z+1/2'
loop_
_atom_site_label
_atom_site_type_symbol
_atom_site_fract_x
_atom_site_fract_y
_atom_site_fract_z
_atom_site_occupancy
Ac1 Ac 0.000 0.113 0.000 1
Ac2 Ac 0.000 0.131 0.614 1
Zn1 Zn 0.000 0.442 0.764 1
Cd1 Cd 0.000 0.207 0.324 1
Se1 Se 0.000 0.047 0.365 1
Se2 Se 0.000 0.287 0.977 1
Se3 Se 0.000 0.313 0.667 1
Se4 Se 0.000 0.358 0.311 1
Se5 Se 0.000 0.497 0.086 1
```



Entry 3:
Here is a relaxed La2Pm3Pr crystal from Alexandria via LeMat-Bulk. Energies are from PBE-GGA.

Computed properties:
energy of formation	0.490	eV/atom
energy above the lowest structure with this stoichiometry	437	meV per atom
N(E_F)	41.20	states/eV per cell
raw total energy	-4.3247	eV/atom

CIF file:
```
data_La2Pm3Pr
_chemical_formula_sum 'La8 Pm12 Pr4'
_symmetry_space_group_name_H-M 'I b a m'
_symmetry_Int_Tables_number 72
_symmetry_space_group_name_Hall '-I 2 2c'
_cell_length_a 11.546
_cell_length_b 12.058
_cell_length_c 7.054
_cell_angle_alpha 90.00
_cell_angle_beta 90.00
_cell_angle_gamma 90.00
loop_
_atom_site_label
_atom_site_type_symbol
_atom_site_fract_x
_atom_site_fract_y
_atom_site_fract_z
_atom_site_occupancy
La1 La 0.245 0.211 0.000 1
Pm1 Pm 0.000 0.000 0.250 1
Pm2 Pm 0.000 0.262 0.250 1
Pr1 Pr 0.000 0.500 0.000 1
```



Entry 4:
Here is a relaxed CeBeAl2Pd4 crystal from Alexandria via LeMat-Bulk. Energies are from PBE-GGA.

Computed properties:
energy of formation	-0.750	eV/atom
N(E_F)	20.46	states/eV per cell
raw total energy	-5.4899	eV/atom

CIF file:
```
data_CeBeAl2Pd4
_chemical_formula_sum 'Ce3 Be3 Al6 Pd12'
_symmetry_space_group_name_H-M 'R -3 m'
_symmetry_Int_Tables_number 166
_symmetry_space_group_name_Hall '-R 3 2"'
_cell_length_a 4.2328
_cell_length_b 4.2328
_cell_length_c 25.7608
_cell_angle_alpha 90.00
_cell_angle_beta 90.00
_cell_angle_gamma 120.00
loop_
_atom_site_label
_atom_site_type_symbol
_atom_site_fract_x
_atom_site_fract_y
_atom_site_fract_z
_atom_site_occupancy
Ce1 Ce 0.0000 0.0000 0.0000 1
Be1 Be 0.0000 0.0000 0.5000 1
Al1 Al 0.0000 0.0000 0.2362 1
Pd1 Pd 0.0000 0.0000 0.1360 1
Pd2 Pd 0.0000 0.0000 0.4065 1
```



Entry 5:
Here is a relaxed AcGaH8Ru2 crystal from Alexandria via LeMat-Bulk. Energies are from PBE-GGA.

Computed properties:
N(E_F)	2.96	states/eV per cell
raw total energy	-4.4945	eV/atom

CIF file:
```
data_AcGaH8Ru2
_chemical_formula_sum 'Ac2 Ga2 H16 Ru4'
_symmetry_space_group_name_H-M 'C 1 2/m 1'
_symmetry_Int_Tables_number 12
_cell_length_a 9.288
_cell_length_b 3.914
_cell_length_c 8.140
_cell_angle_alpha 90.00
_cell_angle_beta 115.50
_cell_angle_gamma 90.00
loop_
_symmetry_equiv_pos_as_xyz
'x,y,z'
'-x,-y,-z'
'-x,y,-z'
'x,-y,z'
'x+1/2,y+1/2,z'
'-x+1/2,-y+1/2,-z'
'-x+1/2,y+1/2,-z'
'x+1/2,-y+1/2,z'
loop_
_atom_site_label
_atom_site_type_symbol
_atom_site_fract_x
_atom_site_fract_y
_atom_site_fract_z
_atom_site_occupancy
Ac1 Ac 0.000 0.000 0.000 1
Ga1 Ga 0.000 0.000 0.500 1
H1 H 0.128 0.374 0.333 1
H2 H 0.156 0.500 0.944 1
H3 H 0.241 0.500 0.715 1
Ru1 Ru 0.060 0.500 0.713 1
```



Entry 6:
Here is a relaxed RbTl2ReMo crystal from Alexandria via LeMat-Bulk. Energies are from PBE-GGA.

Computed properties:
energy of formation	0.944	eV/atom
N(E_F)	3.07	states/eV per cell
raw total energy	-4.8520	eV/atom

CIF file:
```
data_RbTl2ReMo
_chemical_formula_sum 'Rb1 Tl2 Re1 Mo1'
_symmetry_space_group_name_H-M 'P 4/m m m'
_symmetry_Int_Tables_number 123
_symmetry_space_group_name_Hall '-P 4 2'
_cell_length_a 5.562
_cell_length_b 5.562
_cell_length_c 4.847
_cell_angle_alpha 90.00
_cell_angle_beta 90.00
_cell_angle_gamma 90.00
loop_
_atom_site_label
_atom_site_type_symbol
_atom_site_fract_x
_atom_site_fract_y
_atom_site_fract_z
_atom_site_occupancy
Rb1 Rb 0.000 0.000 0.000 1
Tl1 Tl 0.000 0.500 0.500 1
Re1 Re 0.500 0.500 0.000 1
Mo1 Mo 0.500 0.500 0.500 1
```



Entry 7:
Here is a relaxed MnSbTe2 crystal from Alexandria via LeMat-Bulk. Energies are from PBE-GGA.

Computed properties:
N(E_F)	9.94	states/eV per cell
E_form (uncorrected)	1.68	eV per formula unit
raw total energy	-4.4727	eV/atom

CIF file:
```
data_MnSbTe2
_chemical_formula_sum 'Mn4 Sb4 Te8'
_symmetry_space_group_name_H-M 'I -4 2 d'
_symmetry_Int_Tables_number 122
_symmetry_space_group_name_Hall 'I -4 2bw'
_cell_length_a 6.703
_cell_length_b 6.703
_cell_length_c 10.979
_cell_angle_alpha 90.00
_cell_angle_beta 90.00
_cell_angle_gamma 90.00
loop_
_atom_site_label
_atom_site_type_symbol
_atom_site_fract_x
_atom_site_fract_y
_atom_site_fract_z
_atom_site_occupancy
Mn1 Mn 0.000 0.000 0.000 1
Sb1 Sb 0.000 0.000 0.500 1
Te1 Te 0.173 0.250 0.125 1
```



Entry 8:
Here is a relaxed KLi2In crystal from Alexandria via LeMat-Bulk. Energies are from PBE-GGA.

Computed properties:
energy of formation	0.024	eV/atom
N(E_F)	3.34	states/eV per cell
raw total energy	-1.8922	eV/atom

CIF file:
```
data_KLi2In
_chemical_formula_sum 'K2 Li4 In2'
_symmetry_space_group_name_H-M 'I m m 2'
_symmetry_Int_Tables_number 44
_cell_length_a 3.571
_cell_length_b 5.577
_cell_length_c 11.085
_cell_angle_alpha 90.00
_cell_angle_beta 90.00
_cell_angle_gamma 90.00
loop_
_symmetry_equiv_pos_as_xyz
'x,y,z'
'-x,-y,z'
'-x,y,z'
'x,-y,z'
'x+1/2,y+1/2,z+1/2'
'-x+1/2,-y+1/2,z+1/2'
'-x+1/2,y+1/2,z+1/2'
'x+1/2,-y+1/2,z+1/2'
loop_
_atom_site_label
_atom_site_type_symbol
_atom_site_fract_x
_atom_site_fract_y
_atom_site_fract_z
_atom_site_occupancy
K1 K 0.000 0.000 0.000 1
Li1 Li 0.000 0.000 0.506 1
Li2 Li 0.000 0.500 0.777 1
In1 In 0.000 0.500 0.220 1
```